VASP calculation (GGA-PBE) on an optimized crystal structure of NaTcPt.

As for the calculated total energy: -5.50 eV per atom. The value obtained for the energy above the lowest structure with this stoichiometry is 35.1 kJ/mol of atoms. The value obtained for the formation energy is 0.4107 eV per atom.

The space group is Pnma (No. 62) and the conventional cell measures 5.240, 4.309 and 8.732 Å, with angles of 90.00, 90.00 and 90.00 degrees. The asymmetric unit holds Na at (0.088, 0.250, 0.061), Tc at (0.125, 0.250, 0.716) and Pt at (0.084, 0.250, 0.401).

---

VASP calculation (GGA-PBE) on an optimized crystal structure of KZrAl2.

As for the calculated total energy: -3.82 eV per atom. The value obtained for the energy above the lowest structure with this stoichiometry is 44.6 kJ/mol of atoms. The value obtained for the formation energy is 0.4581 eV per atom.

The space group is Fm-3m (No. 225) and the conventional cell measures 7.227, 7.227 and 7.227 Å, with angles of 90.00, 90.00 and 90.00 degrees. The asymmetric unit holds K at (0.000, 0.000, 0.000), Zr at (0.000, 0.000, 0.500) and Al at (0.250, 0.250, 0.250).